No. 1
A geometry-optimized TbY2Ni2 structure, computed with PBE. Values from VASP.

DOS(E_F)   1.02 states/eV/atom
Offset from the most stable computed form   0.0 kJ per mole of atoms
Formation energy   -0.315 eV/atom
E   -6.14 eV/atom

The structure in Quantum ESPRESSO input format:
```
&SYSTEM
  ibrav = 0, nat = 10, ntyp = 3
/
ATOMIC_SPECIES
Ni 58.69 Ni.upf
Y 88.91 Y.upf
Tb 158.93 Tb.upf
ATOMIC_POSITIONS crystal
Ni 0.7001 0.6774 0.4898
Y 0.7675 0.3169 0.6539
Tb 0.9081 0.0000 0.2500
Ni 0.2999 0.3226 0.5102
Y 0.5494 0.3169 0.1539
Ni 0.0226 0.3226 0.0102
Y 0.4506 0.6831 0.8461
Tb 0.0919 0.0000 0.7500
Ni 0.9774 0.6774 0.9898
Y 0.2325 0.6831 0.3461
CELL_PARAMETERS angstrom
-2.3212 5.2284 1.1631
-3.8554 -4.4477 -2.3498
-0.2903 -1.6781 6.9640
```


No. 2
A geometry-optimized TaFeSe structure, computed with PBE. Values from VASP.

DOS(E_F)   1.25 states/eV/atom
Offset from the most stable computed form   27.4 kJ per mole of atoms
Energy relative to the elements, uncorrected   0.18 eV per formula unit
E   -7.87 eV/atom

The structure in Quantum ESPRESSO input format:
```
&SYSTEM
  ibrav = 0, nat = 3, ntyp = 3
/
ATOMIC_SPECIES
Fe 55.84 Fe.upf
Ta 180.95 Ta.upf
Se 78.96 Se.upf
ATOMIC_POSITIONS crystal
Fe 0.0004 0.9987 0.0017
Ta 0.3408 0.3417 0.9991
Se 0.6588 0.6595 0.9993
CELL_PARAMETERS angstrom
-2.6067 -1.1717 -4.1130
0.2025 -4.3603 -2.4745
-0.4796 1.9536 4.5967
```


No. 3
A geometry-optimized DyYZnOs structure, computed with PBE. Values from VASP.

DOS(E_F)   0.76 states/eV/atom
Formation energy   -0.271 eV/atom
E   -6.16 eV/atom

The structure in Quantum ESPRESSO input format:
```
&SYSTEM
  ibrav = 0, nat = 4, ntyp = 4
/
ATOMIC_SPECIES
Y 88.91 Y.upf
Os 190.23 Os.upf
Zn 65.41 Zn.upf
Dy 162.50 Dy.upf
ATOMIC_POSITIONS crystal
Y 0.2500 0.2500 0.2500
Os 0.0000 0.0000 0.0000
Zn 0.5000 0.5000 0.5000
Dy 0.7500 0.7500 0.7500
CELL_PARAMETERS angstrom
-0.4850 -3.6475 3.2582
3.2786 -0.5081 3.6260
-1.2884 1.0013 4.6360
```


No. 4
A geometry-optimized TiGe4Mo structure, computed with PBE. Values from VASP.

DOS(E_F)   0.40 states/eV/atom
Offset from the most stable computed form   0.8 kJ per mole of atoms
Formation energy   -0.227 eV/atom
E   -6.43 eV/atom

The structure in Quantum ESPRESSO input format:
```
&SYSTEM
  ibrav = 0, nat = 12, ntyp = 3
/
ATOMIC_SPECIES
Ge 72.64 Ge.upf
Mo 95.94 Mo.upf
Ti 47.87 Ti.upf
ATOMIC_POSITIONS crystal
Ge 0.4999 0.3390 0.5000
Mo 0.5000 0.0000 0.5000
Ge 0.5001 0.6610 0.5000
Ge 0.9999 0.1610 0.5000
Ti 0.5000 0.5000 0.0000
Ge 0.0002 0.6643 0.0000
Mo 0.0000 0.5000 0.5000
Ge 0.0001 0.8390 0.5000
Ge 0.4998 0.1643 0.0000
Ge 0.5002 0.8357 0.0000
Ge 0.9998 0.3357 0.0000
Ti 0.0000 0.0000 0.0000
CELL_PARAMETERS angstrom
-4.0722 -0.1585 2.4508
-2.9193 -5.9223 -5.2337
1.8067 -3.3519 2.7852
```


No. 5
A geometry-optimized Ta4Nb5Pt2 structure, computed with PBE. Values from VASP.

DOS(E_F)   0.85 states/eV/atom
Formation energy   -0.269 eV/atom
E   -10.25 eV/atom

The structure in Quantum ESPRESSO input format:
```
&SYSTEM
  ibrav = 0, nat = 11, ntyp = 3
/
ATOMIC_SPECIES
Ta 180.95 Ta.upf
Nb 92.91 Nb.upf
Pt 195.08 Pt.upf
ATOMIC_POSITIONS crystal
Ta 0.6817 0.4645 0.3634
Nb 0.7702 0.1769 0.5405
Nb 0.8662 0.8980 0.7323
Ta 0.3183 0.5355 0.6366
Nb 0.2298 0.8231 0.4595
Pt 0.4009 0.2489 0.8019
Ta 0.0419 0.3737 0.0838
Nb 0.1338 0.1020 0.2677
Pt 0.5991 0.7511 0.1981
Ta 0.9581 0.6263 0.9162
Nb 0.5000 0.0000 0.0000
CELL_PARAMETERS angstrom
-2.8284 0.8566 -1.5312
-1.4803 -6.9396 -1.1478
-1.5452 3.8489 8.6250
```


No. 6
A geometry-optimized SrBr2O6 structure, computed with PBE. Values from VASP.

DOS(E_F)   0.00 states/eV/atom
Offset from the most stable computed form   0.2 kJ per mole of atoms
Energy relative to the elements, uncorrected   -6.04 eV per formula unit
E   -4.54 eV/atom

The structure in Quantum ESPRESSO input format:
```
&SYSTEM
  ibrav = 0, nat = 18, ntyp = 3
/
ATOMIC_SPECIES
O 16.00 O.upf
Sr 87.62 Sr.upf
Br 79.90 Br.upf
ATOMIC_POSITIONS crystal
O 0.7673 0.5350 0.7360
Sr 0.6269 0.3791 0.4964
O 0.3705 0.0308 0.8918
Br 0.7778 0.4108 0.9529
Br 0.9739 0.1066 0.5286
O 0.2003 0.1546 0.5760
Br 0.4108 0.7778 0.4529
O 0.5836 0.0485 0.4070
O 0.7641 0.0173 0.7574
O 0.4690 0.6266 0.6202
Br 0.1066 0.9739 0.0286
O 0.0308 0.3705 0.3918
O 0.5350 0.7673 0.2360
O 0.0173 0.7641 0.2574
O 0.0485 0.5836 0.9070
Sr 0.3791 0.6269 0.9964
O 0.6266 0.4690 0.1202
O 0.1546 0.2003 0.0760
CELL_PARAMETERS angstrom
-3.4178 1.6710 6.1150
2.5637 -6.7221 -0.3280
5.1989 -0.4661 5.4337
```